The following is a PBE calculation of an optimized crystal structure of Nb4NiGeC2, from OQMD via LeMat-Bulk. Values from VASP.

Summary:
Spin magnetization = 0.01 μB per formula unit
Raw total energy = -72.1 eV/cell
Density = 7.753 g cm⁻³

Structure (Quantum ESPRESSO input):
```
&SYSTEM
  ibrav = 0, nat = 8, ntyp = 4
/
ATOMIC_SPECIES
Nb 92.91 Nb.upf
Ni 58.69 Ni.upf
Ge 72.64 Ge.upf
C 12.01 C.upf
CELL_PARAMETERS angstrom
3.1851 0.0000 0.0000
-1.5925 2.7583 0.0000
0.0000 0.0000 12.8472
ATOMIC_POSITIONS angstrom
Nb 0.0000 0.0000 1.9444
Nb 0.0000 0.0000 10.9028
Nb 0.0000 1.8389 4.3771
Nb 0.0000 1.8389 8.4700
Ni 0.0000 1.8389 0.0000
Ge 0.0000 0.0000 6.4236
C 1.5925 0.9194 3.1431
C 1.5925 0.9194 9.7040
```

The following is a PBE calculation of an optimized crystal structure of Nb4GePbC2, from OQMD via LeMat-Bulk. Values from VASP.

Summary:
Spin magnetization = 0.01 μB per formula unit
Raw total energy = -70.2 eV/cell
Density = 8.941 g cm⁻³

Structure (Quantum ESPRESSO input):
```
&SYSTEM
  ibrav = 0, nat = 8, ntyp = 4
/
ATOMIC_SPECIES
Nb 92.91 Nb.upf
Ge 72.64 Ge.upf
Pb 207.20 Pb.upf
C 12.01 C.upf
CELL_PARAMETERS angstrom
3.2780 0.0000 0.0000
-1.6390 2.8388 0.0000
0.0000 0.0000 13.4809
ATOMIC_POSITIONS angstrom
Nb 0.0000 0.0000 1.9973
Nb 0.0000 0.0000 11.4836
Nb 1.6390 0.9463 4.3038
Nb 1.6390 0.9463 9.1771
Ge 1.6390 0.9463 0.0000
Pb 0.0000 0.0000 6.7404
C 0.0000 1.8925 3.1739
C 0.0000 1.8925 10.3070
```

The following is a PBE calculation of an optimized crystal structure of Nb4GeSbC2, from OQMD via LeMat-Bulk. Values from VASP.

Summary:
Spin magnetization = 0.00 μB per formula unit
Raw total energy = -71.1 eV/cell
Density = 7.987 g cm⁻³

Structure (Quantum ESPRESSO input):
```
&SYSTEM
  ibrav = 0, nat = 8, ntyp = 4
/
ATOMIC_SPECIES
Nb 92.91 Nb.upf
Ge 72.64 Ge.upf
Sb 121.76 Sb.upf
C 12.01 C.upf
CELL_PARAMETERS angstrom
3.3029 0.0000 0.0000
-1.6514 2.8604 0.0000
0.0000 0.0000 12.9853
ATOMIC_POSITIONS angstrom
Nb 0.0000 0.0000 1.9794
Nb 0.0000 0.0000 11.0059
Nb 0.0000 1.9069 4.2760
Nb 0.0000 1.9069 8.7093
Ge 0.0000 1.9069 0.0000
Sb 0.0000 0.0000 6.4927
C 1.6514 0.9535 3.1397
C 1.6514 0.9535 9.8456
```

Question: Which value of spin magnetization does entry 1 give?
Answer: 0.01 μB per formula unit